! YBeN2O (GGA-PBE, relaxed); values from VASP
&SYSTEM
  ibrav = 0, nat = 5, ntyp = 4
/
ATOMIC_SPECIES
Y 88.91 Y.upf
Be 9.01 Be.upf
O 16.00 O.upf
N 14.01 N.upf
ATOMIC_POSITIONS crystal
Y 0.000 0.000 0.000
Be 0.500 0.500 0.500
O 0.000 0.000 0.500
N 0.000 0.500 0.000
N 0.500 0.000 0.000
CELL_PARAMETERS angstrom
-3.884 2.308 -0.365
-2.335 -3.811 0.752
0.072 0.785 4.202
! Formation energy without anion corrections in eV/atom: 0.923
! Magnetic moment in Bohr magnetons per cell: 3.02
! Calculated total energy in eV/atom: -5.437